Below is a relaxed structure of P2RuS2, with properties calculated at the PBE-GGA level.

abc: 4.5715 4.5715 4.5660
angles: 90.00 90.00 90.00
Element x y z (fractional)
P1 0.0000 0.0000 0.0000
P2 0.5000 0.5000 0.0000
Ru1 0.0000 0.0000 0.5000
S1 0.0000 0.5000 0.5000
S2 0.5000 0.0000 0.5000

Computed properties:
ΔE_f (raw)	0.85	eV/atom
E_tot	-0.354	Ry per atom
total magnetization	0.0	μB/f.u.